A plane-wave DFT calculation with PBE was carried out for a relaxed structure of SiW2C.

The calculation puts the density of states at the Fermi level at 10.53 states/eV/cell. Its crystal system is cubic. The calculation puts the uncorrected formation energy at 862 meV per atom.

```
data_SiW2C
_chemical_formula_sum 'Si4 W8 C4'
_symmetry_space_group_name_H-M 'F m -3 m'
_symmetry_Int_Tables_number 225
_symmetry_space_group_name_Hall '-F 4 2 3'
_cell_length_a 5.8733
_cell_length_b 5.8733
_cell_length_c 5.8733
_cell_angle_alpha 90.00
_cell_angle_beta 90.00
_cell_angle_gamma 90.00
loop_
_atom_site_label
_atom_site_type_symbol
_atom_site_fract_x
_atom_site_fract_y
_atom_site_fract_z
Si1 Si 0.0000 0.0000 0.0000
W1 W 0.2500 0.2500 0.2500
C1 C 0.0000 0.0000 0.5000
```